Ta2AlAs | SCAN | single point on PBEsol structure

**Total energy**: -40.444 eV/atom
**Space-group type**: Immm

```
4
Lattice="3.3279 0.0000 0.0000 0.0000 4.7196 0.0000 -1.6640 -2.3598 4.2002" Properties=species:S:1:pos:R:3 pbc="T T T"
Al 1.6640 0.0000 0.0000
As 0.0000 2.3598 0.0000
Ta 0.0000 0.0000 2.1813
Ta 1.6640 2.3598 2.0189
```

SbTe2OsS | SCAN | single point on PBEsol structure

**Total energy**: -37.820 eV/atom
**ΔE_f (raw)**: 19.24 kcal/mol of atoms
**Space-group type**: P4/mmm

```
5
Lattice="5.0899 0.0000 0.0000 0.0000 5.1159 0.0000 0.0000 0.0000 5.1159" Properties=species:S:1:pos:R:3 pbc="T T T"
Te 0.0000 0.0000 2.5580
Te 0.0000 2.5580 0.0000
Sb 2.5450 0.0000 0.0000
Os 0.0000 0.0000 0.0000
S 2.5450 2.5580 2.5580
```

YFeC3 | SCAN | single point on PBEsol structure

**Total energy**: -14.292 eV/atom
**Space-group type**: Pm-3m

```
5
Lattice="3.7730 0.0000 0.0000 0.0000 3.7730 0.0000 0.0000 0.0000 3.7730" Properties=species:S:1:pos:R:3 pbc="T T T"
Fe 0.0000 0.0000 0.0000
C 0.0000 0.0000 1.8865
C 1.8865 0.0000 0.0000
C 0.0000 1.8865 0.0000
Y 1.8865 1.8865 1.8865
```

FeNi2Se | SCAN | single point on PBEsol structure

**Total energy**: -17.461 eV/atom
**ΔE_f (raw)**: 4.10 kcal/mol of atoms
**Space-group type**: Immm

```
4
Lattice="-2.5342 -1.8210 0.0393 2.2425 -3.1107 0.4693 -0.0938 2.8839 3.6624" Properties=species:S:1:pos:R:3 pbc="T T T"
Se -1.2671 -0.9105 0.0196
Ni -0.2740 -2.2424 2.3482
Ni -0.1116 0.1946 1.8228
Fe 1.1213 -1.5553 0.2346
```

MoPHO2 | SCAN | single point on PBEsol structure

**Total energy**: -11.840 eV/atom
**Space-group type**: P4/mmm

```
5
Lattice="2.9238 0.0000 0.0000 0.0000 3.8714 0.0000 0.0000 0.0000 3.8714" Properties=species:S:1:pos:R:3 pbc="T T T"
Mo 1.4619 1.9357 1.9357
O 0.0000 1.9357 0.0000
O 0.0000 0.0000 1.9357
P 1.4619 0.0000 0.0000
H 0.0000 0.0000 0.0000
```

YTa3O9 | SCAN | single point on PBEsol structure

**Total energy**: -24.701 eV/atom
**ΔE_f (raw)**: -66.41 kcal/mol of atoms
**Space-group type**: P1

```
26
Lattice="-0.4404 5.0609 2.4009 -6.6538 1.6067 -1.5534 -3.4870 0.9629 9.3910" Properties=species:S:1:pos:R:3 pbc="T T T"
O -5.2610 3.9028 1.7338
O -6.4214 3.3191 4.8050
O -4.5232 2.4606 7.2833
O -8.2898 5.5991 6.9947
O -2.8030 2.4631 2.0989
O -7.2458 2.8362 7.4145
O -6.3344 6.0580 5.1243
O -2.2074 4.9480 2.4849
O -4.2661 4.3852 4.1588
O -3.8298 4.9286 9.5624
O -4.7687 1.3943 0.7477
O -4.9410 4.9776 6.7686
O -7.5797 3.8639 2.2479
O -2.2960 5.1375 5.2649
O -6.4115 5.1551 8.6989
O -6.6425 3.1762 -0.4437
O -3.4303 2.0249 4.5406
O -7.7833 3.9081 4.8417
Ta -2.3398 3.7024 3.7956
Ta -6.1280 4.6609 3.3128
Ta -4.7122 6.1521 8.5253
Ta -6.8850 4.5078 6.6165
Ta -3.7910 0.9937 2.7626
Ta -6.6005 2.3653 1.1985
Y -8.5684 5.9706 9.0854
Y -5.3501 3.0252 9.2628
```

Nb2ReHPd | SCAN | single point on PBEsol structure

**Total energy**: -33.993 eV/atom
**Space-group type**: P4/mmm

```
5
Lattice="-1.2395 -2.7212 -1.0173 4.4185 -2.1942 0.4859 -1.1253 -1.2324 4.6678" Properties=species:S:1:pos:R:3 pbc="T T T"
Nb -0.5627 -0.6162 2.3339
Nb 2.2092 -1.0971 0.2429
Re 0.0000 0.0000 0.0000
H -0.6197 -1.3606 -0.5086
Pd 1.0268 -3.0739 2.0682
```

La3SbTe | SCAN | single point on PBEsol structure

**Total energy**: -41.247 eV/atom
**ΔE_f (raw)**: -11.11 kcal/mol of atoms
**Space-group type**: Pm-3m

```
5
Lattice="-2.9450 0.3203 5.0149 4.7792 -1.6175 2.9099 1.5527 5.5862 0.5550" Properties=species:S:1:pos:R:3 pbc="T T T"
Te 0.0000 0.0000 0.0000
Sb 1.6934 2.1445 4.2399
La -1.4725 0.1602 2.5074
La 2.3896 -0.8088 1.4550
La 0.7764 2.7931 0.2775
```

The volume results, record by record, are as follows: 65.97; 133.22; 53.71; 47.58; 43.82; 167.21; 77.62; 197.60 Å³/f.u..